(1)
Here is Na2Np2NiS6 after structural relaxation from the Alexandria database. Energies are from PBE-GGA.

Geometry as POSCAR:
```
Na2Np2NiS6
1.0
-3.731 1.994 -5.051
-2.575 -0.487 6.044
3.788 5.950 0.936
S Np Ni Na
6 2 1 2
Cartesian
-3.952 3.255 -0.773 S
1.059 5.008 -0.903 S
1.434 4.201 2.703 S
-0.352 2.110 0.509 S
-3.577 2.449 2.832 S
-2.166 5.346 1.421 S
-1.450 4.140 -0.875 Np
-1.067 3.317 2.804 Np
1.894 2.975 0.468 Ni
-2.766 -0.078 4.214 Na
-3.540 1.585 -3.221 Na
```

Results
Energy relative to the elements, uncorrected = -1.0339 eV/atom
Energy = -70.438 eV/cell
Total magnetization = 7.39 μB/cell

(2)
Here is Na3Np3NiS8 after structural relaxation from the Alexandria database. Energies are from PBE-GGA.

Geometry as POSCAR:
```
Na3Np3NiS8
1.0
-4.679 -0.367 -6.132
7.319 -2.389 -0.579
-5.210 -4.519 4.246
S Np Ni Na
8 3 1 3
Cartesian
-2.534 -1.445 -0.318 S
-1.157 -2.886 -3.807 S
2.393 -5.639 1.036 S
-4.963 -1.636 -3.501 S
-3.721 -4.740 -1.739 S
-0.036 -5.830 -2.147 S
-1.413 -4.389 1.341 S
1.151 -2.535 -0.726 S
1.055 -3.454 1.834 Np
-4.945 -2.443 -0.943 Np
-1.285 -3.638 -1.233 Np
-2.605 -2.259 2.123 Ni
0.000 0.000 0.000 Na
1.320 -1.378 -3.356 Na
3.659 -1.195 -0.289 Na
```

Results
Energy relative to the elements, uncorrected = -1.1272 eV/atom
Energy = -98.488 eV/cell
Total magnetization = 7.99 μB/cell

(3)
Here is Na2NpNiS4 after structural relaxation from the Alexandria database. Energies are from PBE-GGA.

Geometry as POSCAR:
```
Na2NpNiS4
1.0
3.874 0.000 0.000
0.000 6.193 0.019
0.000 -2.250 6.704
S Ni Np Na
4 1 1 2
Cartesian
1.937 0.915 1.402 S
0.000 -0.233 5.223 S
1.937 3.028 5.322 S
0.000 4.176 1.501 S
0.000 0.000 0.000 Ni
1.937 3.096 0.010 Np
0.000 1.972 3.362 Na
1.937 -1.125 3.352 Na
```

Results
Energy relative to the elements, uncorrected = -0.9640 eV/atom
Energy = -45.582 eV/cell
Total magnetization = 0.98 μB/cell

(4)
Here is NaNpNi2S4 after structural relaxation from the Alexandria database. Energies are from PBE-GGA.

Geometry as POSCAR:
```
NaNpNi2S4
1.0
-5.337 -3.263 -0.973
-0.271 -5.671 -0.091
-3.244 -2.080 4.171
Ni S Np Na
2 4 1 1
Cartesian
-2.144 -2.924 0.968 Ni
-6.707 -8.090 2.138 Ni
-6.886 -4.293 1.055 S
-2.891 -4.440 -0.517 S
-3.388 -5.002 4.092 S
-4.537 -8.293 1.583 S
-4.426 -5.507 1.553 Np
0.000 0.000 0.000 Na
```

Results
Energy relative to the elements, uncorrected = -0.6831 eV/atom
Energy = -47.797 eV/cell
Total magnetization = 2.31 μB/cell

- The lowest energy belongs to which entry?
  Na3Np3NiS8

- energy relative to the elements, uncorrected of number 3 (Na2NpNiS4)?
  -0.9640 eV/atom

- Look up the energy relative to the elements, uncorrected of the fourth one.
  -0.6831 eV/atom

- Look up the energy of the third one.
  -45.582 eV/cell